First-principles (GGA-PBE) data for a relaxed structure of YMgCu2Si2, as listed in the Alexandria database.

Values from the calculation:
The total energy comes out at -4.977 eV per atom. The calculation puts the theoretical density at 4.92 g/cm³.

Lattice parameters (Å, degrees): 4.1298 4.1298 6.7718 90.00 90.00 120.00
Space group P-3m1 (No. 164)
Asymmetric unit:
Y1 0.0000 0.0000 0.0000 x1
Mg1 0.0000 0.0000 0.5000 x1
Cu1 0.3333 0.6667 0.6967 x2
Si1 0.3333 0.6667 0.2650 x2


First-principles (GGA-PBE) data for a relaxed structure of Ti2Mn2Zn, as listed in the Alexandria database.

Values from the calculation:
The calculation puts the energy relative to the elements at -16 meV per atom. The calculation puts the theoretical density at 6.38 g/cm³.

Lattice parameters (Å, degrees): 6.773 6.773 3.076 90.00 90.00 90.00
Space group P4/mbm (No. 127)
Asymmetric unit:
Ti1 0.196 0.304 0.000 x4
Mn1 0.107 0.607 0.500 x4
Zn1 0.000 0.000 0.500 x2


First-principles (GGA-PBE) data for a relaxed structure of ZnBRu3, as listed in the Alexandria database.

Values from the calculation:
The calculation puts the energy relative to the elements at 2379 meV per atom. For the energy relative to the lowest polymorph listed for this composition, the calculation gives 2218.2 meV per atom. The calculation puts the theoretical density at 6.92 g/cm³.

Lattice parameters (Å, degrees): 4.498 4.498 4.498 90.00 90.00 90.00
Space group Pm-3m (No. 221)
Asymmetric unit:
Zn1 0.000 0.000 0.000 x1
B1 0.500 0.500 0.500 x1
Ru1 0.000 0.000 0.500 x3


First-principles (GGA-PBE) data for a relaxed structure of BaSbAsSe2, as listed in the Alexandria database.

Values from the calculation:
For the energy relative to the lowest polymorph listed for this composition, the calculation gives 1211.0 meV per atom. The calculation puts the theoretical density at 3.60 g/cm³.

Lattice parameters (Å, degrees): 6.060 6.060 6.175 90.00 90.00 90.00
Space group P4/mmm (No. 123)
Asymmetric unit:
Ba1 0.000 0.000 0.000 x1
Sb1 0.500 0.500 0.500 x1
As1 0.000 0.000 0.500 x1
Se1 0.000 0.500 0.000 x2


First-principles (GGA-PBE) data for a relaxed structure of MgCoSi2, as listed in the Alexandria database.

Values from the calculation:
The total energy comes out at -4.917 eV per atom. The calculation puts the theoretical density at 4.01 g/cm³.

Lattice parameters (Å, degrees): 3.131 4.017 4.844 90.00 108.68 90.00
Space group Pm (No. 6)
Asymmetric unit:
Mg1 0.000 0.000 0.000 x1
Co1 0.391 0.500 0.778 x1
Si1 0.274 0.000 0.542 x1
Si2 0.691 0.500 0.377 x1


First-principles (GGA-PBE) data for a relaxed structure of SmMgSb2Pd4, as listed in the Alexandria database.

Values from the calculation:
The total energy comes out at -5.132 eV per atom. The calculation puts the theoretical density at 9.06 g/cm³.

Lattice parameters (Å, degrees): 4.6021 4.6021 25.3101 90.00 90.00 120.00
Space group R-3m (No. 166, hexagonal axes)
Asymmetric unit:
Sm1 0.0000 0.0000 0.0000 x3
Mg1 0.0000 0.0000 0.5000 x3
Sb1 0.0000 0.0000 0.2479 x6
Pd1 0.0000 0.0000 0.1370 x6
Pd2 0.0000 0.0000 0.3966 x6


First-principles (GGA-PBE) data for a relaxed structure of CaCo2Rh2, as listed in the Alexandria database.

Values from the calculation:
The calculation puts the energy relative to the elements at 16 meV per atom. For the energy relative to the lowest polymorph listed for this composition, the calculation gives 18.8 meV per atom. The calculation puts the theoretical density at 8.00 g/cm³.

Lattice parameters (Å, degrees): 7.402 7.402 2.757 90.00 90.00 90.00
Space group P4/mbm (No. 127)
Asymmetric unit:
Ca1 0.000 0.000 0.000 x2
Co1 0.116 0.384 0.000 x4
Rh1 0.175 0.675 0.500 x4


First-principles (GGA-PBE) data for a relaxed structure of ZrTcI, as listed in the Alexandria database.

Values from the calculation:
For the energy relative to the lowest polymorph listed for this composition, the calculation gives 0.0 meV per atom. The calculation puts the theoretical density at 6.34 g/cm³.

Lattice parameters (Å, degrees): 4.0215 4.0215 35.4819 90.00 90.00 120.00
Space group R-3m (No. 166, hexagonal axes)
Asymmetric unit:
Zr1 0.0000 0.0000 0.0542 x6
Tc1 0.0000 0.0000 0.3419 x6
I1 0.0000 0.0000 0.2218 x6


First-principles (GGA-PBE) data for a relaxed structure of Na3Ca5I12, as listed in the Alexandria database.

Values from the calculation:
The total energy comes out at -2.947 eV per atom. The calculation puts the theoretical density at 3.24 g/cm³.

Lattice parameters (Å, degrees): 19.442 19.442 19.442 90.00 90.00 90.00
Space group Ia-3d (No. 230)
Asymmetric unit:
Na1 0.000 0.250 0.125 x24
Ca1 0.000 0.000 0.000 x16
Ca2 0.000 0.250 0.375 x24
I1 0.027 0.063 0.648 x96


First-principles (GGA-PBE) data for a relaxed structure of Be2AsCl, as listed in the Alexandria database.

Values from the calculation:
For the energy relative to the lowest polymorph listed for this composition, the calculation gives 820.9 meV per atom. The calculation puts the theoretical density at 3.16 g/cm³.

Lattice parameters (Å, degrees): 3.246 3.246 12.820 90.00 90.00 90.00
Space group I-4m2 (No. 119)
Asymmetric unit:
Be1 0.000 0.000 0.000 x2
Be2 0.000 0.500 0.250 x2
As1 0.000 0.000 0.500 x2
Cl1 0.000 0.500 0.750 x2


First-principles (GGA-PBE) data for a relaxed structure of DyNp2Sn9, as listed in the Alexandria database.

Values from the calculation:
The calculation puts the energy relative to the elements at -236 meV per atom. The calculation puts the theoretical density at 9.28 g/cm³.

Lattice parameters (Å, degrees): 4.670 4.670 13.983 90.00 90.00 90.00
Space group P4/mmm (No. 123)
Asymmetric unit:
Dy1 0.000 0.000 0.000 x1
Np1 0.000 0.000 0.336 x2
Sn1 0.000 0.500 0.169 x4
Sn2 0.000 0.500 0.500 x2
Sn3 0.500 0.500 0.000 x1
Sn4 0.500 0.500 0.334 x2


First-principles (GGA-PBE) data for a relaxed structure of ScTiCrIr, as listed in the Alexandria database.

Values from the calculation:
The calculation puts the energy relative to the elements at -417 meV per atom. The calculation puts the theoretical density at 8.86 g/cm³.

Lattice parameters (Å, degrees): 6.322 6.322 6.322 90.00 90.00 90.00
Space group F-43m (No. 216)
Asymmetric unit:
Sc1 0.000 0.000 0.000 x4
Ti1 0.000 0.000 0.500 x4
Cr1 0.250 0.250 0.750 x4
Ir1 0.250 0.250 0.250 x4


Question: Among the records above, which one has the lowest theoretical density?
Answer: Be2AsCl


Question: Which value of theoretical density does entry 3 give?
Answer: 6.92 g/cm³